Entry 1:
Entry from Alexandria: a relaxed structure of CuSnBr2 (PBE-GGA).

Lattice parameters (Å, degrees): 6.4738 6.4738 6.4738 107.71 107.71 113.05
Element x y z (fractional)
Cu: 0.0000 0.0000 0.0000
Cu: 0.7500 0.2500 0.5000
Sn: 0.2500 0.7500 0.5000
Sn: 0.5000 0.5000 0.0000
Br: 0.0500 0.6250 0.9250
Br: 0.3750 0.3000 0.4250
Br: 0.7000 0.1250 0.0750
Br: 0.8750 0.9500 0.5750

Summary:
Total moment   0.000 μB per formula unit
Energy relative to the elements, uncorrected   -0.085 eV per atom
DOS at the Fermi energy   0.532 states/eV per atom
ΔE to the lowest computed polymorph   50.9 kJ/mol of formula units



Entry 2:
Entry from Alexandria: a relaxed structure of Tb3Dy5Ho (PBE-GGA).

Lattice parameters (Å, degrees): 9.4417 9.4417 9.8433 120.99 120.99 74.08
Element x y z (fractional)
Tb: 0.0000 0.0000 0.0000
Tb: 0.0089 0.0089 0.3159
Tb: 0.4806 0.4806 0.1403
Tb: 0.5000 0.5000 0.5000
Tb: 0.5194 0.5194 0.8597
Tb: 0.9911 0.9911 0.6841
Dy: 0.0968 0.5999 0.7526
Dy: 0.2227 0.2227 0.7312
Dy: 0.2427 0.7573 0.5000
Dy: 0.2768 0.2768 0.4599
Dy: 0.4001 0.9032 0.2474
Dy: 0.5999 0.0968 0.7526
Dy: 0.7232 0.7232 0.5401
Dy: 0.7573 0.2427 0.5000
Dy: 0.7773 0.7773 0.2688
Dy: 0.9032 0.4001 0.2474
Ho: 0.2495 0.2495 0.0985
Ho: 0.7505 0.7505 0.9015

Summary:
Total moment   0.000 μB per formula unit
DOS at the Fermi energy   1.369 states/eV per atom
Energy relative to the elements   0.525 eV/atom
ΔE to the lowest computed polymorph   197.2 kJ/mol of formula units